Entry 1:
VASP calculation (GGA-PBE) on crystalline ZnRe5 at its relaxed geometry.

Properties
For the formation energy, the calculation gives 50.3 kJ per mole of atoms. As for the calculated density: 17250 kg/m3. Its relative energy among the computed polymorphs is 0.434 eV/atom. For the total energy, the calculation gives -60.4 eV per cell.

Cell lengths 5.1381, 5.1381, 5.1381 Å; angles 60.00, 60.00, 60.00 degrees
Last column: nearest neighbours and their distance in Å.
Atoms (fractional coordinates):
Zn 0.0000 0.0000 0.0000  16 Re 3.01-3.15
Re 0.6259 0.6259 0.1222  6 Re 2.55-2.59
Re 0.2500 0.2500 0.2500  12 Re 3.01, 4 Zn 3.15
Re 0.6259 0.6259 0.6259  6 Re 2.55-2.59
Re 0.1222 0.6259 0.6259  6 Re 2.55-2.59
Re 0.6259 0.1222 0.6259  6 Re 2.55-2.59

Entry 2:
VASP calculation (GGA-PBE) on crystalline ZnRe at its relaxed geometry.

Properties
For the formation energy, the calculation gives 120.3 kJ per mole of atoms. As for the calculated density: 13173 kg/m3. Its relative energy among the computed polymorphs is 1.230 eV/atom. For the total energy, the calculation gives -22.5 eV per cell.

Cell lengths 3.9157, 4.7772, 3.9157 Å; angles 90.00, 120.00, 90.00 degrees
Last column: nearest neighbours and their distance in Å.
Atoms (fractional coordinates):
Re 0.6667 0.2500 0.3333  6 Zn 2.56
Re 0.3333 0.7500 0.6667  6 Zn 2.56
Zn 0.0000 0.0000 0.0000  2 Zn 2.39, 6 Re 2.56
Zn 0.0000 0.5000 0.0000  2 Zn 2.39, 6 Re 2.56

Entry 3:
VASP calculation (GGA-PBE) on crystalline Zn2Re3 at its relaxed geometry.

Properties
For the formation energy, the calculation gives 15.3 kJ per mole of atoms. As for the calculated density: 15417 kg/m3. For the total energy, the calculation gives -39.1 eV per cell.

Cell lengths 11.2484, 11.2484, 11.2484 Å; angles 14.17, 14.17, 14.17 degrees
Last column: nearest neighbours and their distance in Å.
Atoms (fractional coordinates):
Zn 0.3998 0.3998 0.3998  6 Re 2.74-2.81, 6 Zn 2.78
Zn 0.6002 0.6002 0.6002  6 Re 2.74-2.81, 6 Zn 2.78
Re 0.0000 0.0000 0.0000  6 Zn 2.74, 6 Re 2.78
Re 0.1979 0.1979 0.1979  9 Re 2.63-2.78, 3 Zn 2.81
Re 0.8021 0.8021 0.8021  9 Re 2.63-2.78, 3 Zn 2.81

Entry 4:
VASP calculation (GGA-PBE) on crystalline ZnRe2 at its relaxed geometry.

Properties
For the formation energy, the calculation gives 48.6 kJ per mole of atoms. As for the calculated density: 16655 kg/m3. Its relative energy among the computed polymorphs is 0.429 eV/atom. For the total energy, the calculation gives -49.3 eV per cell.

Cell lengths 4.4020, 4.4020, 5.2024 Å; angles 90.00, 90.00, 120.00 degrees
Last column: nearest neighbours and their distance in Å.
Atoms (fractional coordinates):
Zn 0.3333 0.6667 0.2500  5 Re 2.54-2.60
Zn 0.6667 0.3333 0.7500  5 Re 2.54-2.60
Re 0.0000 0.0000 0.0000  8 Re 2.60-2.85, 6 Zn 2.85
Re 0.0000 0.0000 0.5000  8 Re 2.60-2.85, 6 Zn 2.85
Re 0.3333 0.6667 0.7500  5 Zn 2.54-2.60
Re 0.6667 0.3333 0.2500  5 Zn 2.54-2.60

Entry 5:
VASP calculation (GGA-PBE) on crystalline Zn2Re at its relaxed geometry.

Properties
For the formation energy, the calculation gives 15.0 kJ per mole of atoms. As for the calculated density: 12049 kg/m3. Its relative energy among the computed polymorphs is 0.000 eV/atom. For the total energy, the calculation gives -29.1 eV per cell.

Cell lengths 5.2133, 5.2133, 6.4872 Å; angles 75.56, 75.56, 30.87 degrees
Last column: nearest neighbours and their distance in Å.
Atoms (fractional coordinates):
Zn 0.6196 0.6196 0.2763  7 Zn 2.68-2.83, 5 Re 2.72-2.77
Zn 0.9404 0.9404 0.6168  9 Zn 2.71-2.83, 3 Re 2.72
Zn 0.6632 0.6632 0.6665  8 Zn 2.68-2.77, 4 Re 2.77-2.81
Zn 0.2729 0.2729 0.9404  8 Zn 2.70-2.77, 4 Re 2.71-2.77
Re 0.9957 0.9957 0.0054  4 Re 2.65-2.77, 8 Zn 2.71-2.77
Re 0.3414 0.3414 0.3279  4 Re 2.65-2.77, 8 Zn 2.72-2.81

Entry 6:
VASP calculation (GGA-PBE) on crystalline Zn2Re at its relaxed geometry.

Properties
For the formation energy, the calculation gives 25.0 kJ per mole of atoms. As for the calculated density: 12317 kg/m3. Its relative energy among the computed polymorphs is 0.103 eV/atom. For the total energy, the calculation gives -14.2 eV per cell.

Cell lengths 2.6372, 4.3260, 4.3260 Å; angles 120.00, 90.00, 90.00 degrees
Last column: nearest neighbours and their distance in Å.
Atoms (fractional coordinates):
Re 0.0000 0.0000 0.0000  2 Re 2.64, 12 Zn 2.82-2.83
Zn 0.5006 0.3333 0.6667  5 Zn 2.50-2.64
Zn 0.4994 0.6667 0.3333  5 Zn 2.50-2.64

Entry 7:
VASP calculation (GGA-PBE) on crystalline Zn3Re at its relaxed geometry.

Properties
For the formation energy, the calculation gives 26.8 kJ per mole of atoms. As for the calculated density: 11136 kg/m3. Its relative energy among the computed polymorphs is 0.181 eV/atom. For the total energy, the calculation gives -30.3 eV per cell.

Cell lengths 4.2347, 5.1322, 5.2479 Å; angles 90.00, 90.00, 90.00 degrees
Last column: nearest neighbours and their distance in Å.
Atoms (fractional coordinates):
Zn 0.5000 0.6811 0.0000  4 Re 2.64-2.65, 6 Zn 2.64-2.74
Zn 0.0000 0.8506 0.2512  7 Zn 2.61-2.74, 3 Re 2.74-2.79
Zn 0.5000 0.1494 0.2488  7 Zn 2.61-2.74, 3 Re 2.74-2.79
Zn 0.0000 0.3189 0.5000  4 Re 2.64-2.65, 6 Zn 2.64-2.74
Zn 0.0000 0.8506 0.7488  7 Zn 2.61-2.74, 3 Re 2.74-2.79
Zn 0.5000 0.1494 0.7512  7 Zn 2.61-2.74, 3 Re 2.74-2.79
Re 0.0000 0.3720 0.0000  10 Zn 2.64-2.79
Re 0.5000 0.6280 0.5000  10 Zn 2.64-2.79

Entry 8:
VASP calculation (GGA-PBE) on crystalline ZnRe2 at its relaxed geometry.

Properties
For the formation energy, the calculation gives 63.3 kJ per mole of atoms. As for the calculated density: 14497 kg/m3. Its relative energy among the computed polymorphs is 0.581 eV/atom. For the total energy, the calculation gives -96.8 eV per cell.

Cell lengths 2.5545, 4.4827, 17.5182 Å; angles 90.00, 90.00, 90.00 degrees
Last column: nearest neighbours and their distance in Å.
Atoms (fractional coordinates):
Re 0.0000 0.2500 0.0352  5 Re 2.55-2.56
Re 0.0000 0.2500 0.1812  5 Re 2.55-2.73, 4 Zn 2.74
Re 0.0000 0.7500 0.8188  5 Re 2.55-2.73, 4 Zn 2.74
Re 0.0000 0.7500 0.9648  5 Re 2.55-2.56
Re 0.5000 0.2500 0.3188  5 Re 2.55-2.73, 4 Zn 2.74
Re 0.5000 0.2500 0.4648  5 Re 2.55-2.56
Re 0.5000 0.7500 0.5352  5 Re 2.55-2.56
Re 0.5000 0.7500 0.6812  5 Re 2.55-2.73, 4 Zn 2.74
Zn 0.0000 0.2500 0.6293  2 Zn 2.55, 4 Re 2.74
Zn 0.0000 0.7500 0.3707  2 Zn 2.55, 4 Re 2.74
Zn 0.5000 0.2500 0.8707  2 Zn 2.55, 4 Re 2.74
Zn 0.5000 0.7500 0.1293  2 Zn 2.55, 4 Re 2.74

| no. | volume (Å³ per cell) |
| --- | --- |
| 1 | 95.9 |
| 2 | 63.4 |
| 3 | 74.3 |
| 4 | 87.3 |
| 5 | 87.4 |
| 6 | 42.7 |
| 7 | 114.1 |
| 8 | 200.6 |